a | VASP calculation (PBE-GGA) on an optimized crystal structure of SbMoS2Cl.

```
data_SbMoS2Cl
_space_group_name_H-M_alt 'P 1'
_space_group_IT_number 1
_space_group_name_Hall 'P 1'
_cell_length_a 4.759
_cell_length_b 4.759
_cell_length_c 4.797
_cell_angle_alpha 90.00
_cell_angle_beta 90.00
_cell_angle_gamma 90.00
loop_
_atom_site_label
_atom_site_type_symbol
_atom_site_fract_x
_atom_site_fract_y
_atom_site_fract_z
Sb1 Sb 0.500 0.500 0.500
Mo1 Mo 0.000 0.000 0.000
S1 S 0.000 0.500 0.000
S2 S 0.500 0.000 0.000
Cl1 Cl 0.000 0.000 0.500
```

---

b | VASP calculation (PBE-GGA) on an optimized crystal structure of SbMoS2Cl.

```
data_SbMoS2Cl
_space_group_name_H-M_alt 'P 1'
_space_group_IT_number 1
_space_group_name_Hall 'P 1'
_cell_length_a 5.112
_cell_length_b 5.112
_cell_length_c 5.074
_cell_angle_alpha 90.00
_cell_angle_beta 90.00
_cell_angle_gamma 90.00
loop_
_atom_site_label
_atom_site_type_symbol
_atom_site_fract_x
_atom_site_fract_y
_atom_site_fract_z
Sb1 Sb 0.000 0.000 0.000
Mo1 Mo 0.500 0.500 0.500
S1 S 0.000 0.500 0.000
S2 S 0.500 0.000 0.000
Cl1 Cl 0.000 0.000 0.500
```

---

Stability ranking, top entry: a; the second entry is 64.0 kJ/mol of atoms less favorable.